(1)
# GGA-PBE PmScIn, relaxed
data_PmScIn
_chemical_formula_sum 'Pm2 Sc2 In2'
_cell_length_a 5.256
_cell_length_b 5.256
_cell_length_c 6.709
_cell_angle_alpha 90.00
_cell_angle_beta 90.00
_cell_angle_gamma 120.00
_symmetry_space_group_name_H-M 'P 1'
_symmetry_Int_Tables_number 1
loop_
_symmetry_equiv_pos_as_xyz
'x,y,z'
loop_
_atom_site_label
_atom_site_type_symbol
_atom_site_fract_x
_atom_site_fract_y
_atom_site_fract_z
Pm1 Pm 0.000 0.000 0.000
Pm2 Pm 0.000 0.000 0.500
Sc1 Sc 0.333 0.667 0.250
Sc2 Sc 0.667 0.333 0.750
In1 In 0.333 0.667 0.750
In2 In 0.667 0.333 0.250
# Space-group type = P6_3/mmc, No. 194
# Total energy = -4.9619 eV per atom
# Energy of formation = -0.3550 eV/atom

(2)
# GGA-PBE Ho4Cd3Hg, relaxed
data_Ho4Cd3Hg
_chemical_formula_sum 'Ho4 Cd3 Hg1'
_cell_length_a 3.725
_cell_length_b 3.725
_cell_length_c 14.872
_cell_angle_alpha 90.00
_cell_angle_beta 90.00
_cell_angle_gamma 90.00
_symmetry_space_group_name_H-M 'P 1'
_symmetry_Int_Tables_number 1
loop_
_symmetry_equiv_pos_as_xyz
'x,y,z'
loop_
_atom_site_label
_atom_site_type_symbol
_atom_site_fract_x
_atom_site_fract_y
_atom_site_fract_z
Ho1 Ho 0.000 0.000 0.123
Ho2 Ho 0.000 0.000 0.374
Ho3 Ho 0.000 0.000 0.626
Ho4 Ho 0.000 0.000 0.877
Cd1 Cd 0.500 0.500 0.250
Cd2 Cd 0.500 0.500 0.500
Cd3 Cd 0.500 0.500 0.750
Hg1 Hg 0.500 0.500 0.000
# Space-group type = P4/mmm, No. 123
# Total energy = -3.0266 eV per atom
# Energy of formation = -0.3568 eV/atom